Compound: Ho4Tm3Th2
Source: Alexandria via LeMat-Bulk
Functional: PBE
Structure: optimized geometry

```
data_Ho4Tm3Th2
_chemical_formula_sum 'Ho8 Tm6 Th4'
_cell_length_a 9.8944
_cell_length_b 9.8944
_cell_length_c 6.0801
_cell_angle_alpha 95.99
_cell_angle_beta 95.99
_cell_angle_gamma 71.84
_space_group_name_H-M_alt 'P 1'
_space_group_IT_number 1
_space_group_name_Hall 'P 1'
loop_
_atom_site_label
_atom_site_type_symbol
_atom_site_fract_x
_atom_site_fract_y
_atom_site_fract_z
Ho1 Ho 0.0881 0.8130 0.9826
Ho2 Ho 0.1458 0.4193 0.1543
Ho3 Ho 0.1870 0.9119 0.5174
Ho4 Ho 0.4193 0.1458 0.6543
Ho5 Ho 0.5807 0.8542 0.3457
Ho6 Ho 0.8130 0.0881 0.4826
Ho7 Ho 0.8542 0.5807 0.8457
Ho8 Ho 0.9119 0.1870 0.0174
Tm1 Tm 0.0620 0.2722 0.5866
Tm2 Tm 0.2722 0.0620 0.0866
Tm3 Tm 0.3914 0.6086 0.2500
Tm4 Tm 0.6086 0.3914 0.7500
Tm5 Tm 0.7278 0.9380 0.9134
Tm6 Tm 0.9380 0.7278 0.4134
Th1 Th 0.2483 0.5261 0.6866
Th2 Th 0.4739 0.7517 0.8134
Th3 Th 0.5261 0.2483 0.1866
Th4 Th 0.7517 0.4739 0.3134
```

- DOS(E_F) (states/eV/atom) = 1.369
- energy above the most stable polymorph in this dataset (eV/atom) = 0.088
- DFT formation energy (eV/atom) = 0.1166
- calculated total energy (eV per atom) = -5.057